[1]
Compound: Cd4IrBr
Source: the Alexandria database
Functional: GGA-PBE
Structure: optimized geometry

abc: 8.0573 8.0573 8.0573
angles: 90.00 90.00 90.00
Space group F-43m (No. 216)
Asymmetric unit:
Cd1 0.1242 0.1242 0.1242 (multiplicity 16)
Ir1 0.2500 0.2500 0.7500 (multiplicity 4)
Br1 0.0000 0.0000 0.5000 (multiplicity 4)

Computed properties:
- E_form (uncorrected): 0.501 eV/atom



[2]
Compound: Na3AlSn
Source: the Alexandria database
Functional: GGA-PBE
Structure: optimized geometry

abc: 5.8403 5.8403 5.8403
angles: 90.00 90.00 90.00
Space group Pm-3m (No. 221)
Asymmetric unit:
Na1 0.0000 0.0000 0.5000 (multiplicity 3)
Al1 0.5000 0.5000 0.5000 (multiplicity 1)
Sn1 0.0000 0.0000 0.0000 (multiplicity 1)

Computed properties:
- Calculated formation energy: 0.438 eV/atom
- Energy above the most stable polymorph in this dataset: 0 meV/atom



[3]
Compound: ScAl2In
Source: the Alexandria database
Functional: GGA-PBE
Structure: optimized geometry

abc: 5.9496 8.4959 3.1902
angles: 90.00 90.00 90.00
Space group Cmmm (No. 65)
Asymmetric unit:
Sc1 0.0000 0.0000 0.0000 (multiplicity 2)
Al1 0.2500 0.2500 0.5000 (multiplicity 4)
In1 0.0000 0.5000 0.0000 (multiplicity 2)

Computed properties:
- Calculated formation energy: -0.197 eV/atom



[4]
Compound: PuAlCoRu
Source: the Alexandria database
Functional: GGA-PBE
Structure: optimized geometry

abc: 6.3269 6.3269 6.3269
angles: 90.00 90.00 90.00
Space group F-43m (No. 216)
Asymmetric unit:
Pu1 0.0000 0.0000 0.0000 (multiplicity 4)
Al1 0.0000 0.0000 0.5000 (multiplicity 4)
Co1 0.2500 0.2500 0.2500 (multiplicity 4)
Ru1 0.2500 0.2500 0.7500 (multiplicity 4)

Computed properties:
- Calculated formation energy: -0.281 eV/atom



[5]
Compound: CoSn2Pd2
Source: the Alexandria database
Functional: GGA-PBE
Structure: optimized geometry

abc: 7.1403 7.1403 3.5361
angles: 90.00 90.00 90.00
Space group P4/mbm (No. 127)
Asymmetric unit:
Co1 0.0000 0.0000 0.0000 (multiplicity 2)
Sn1 0.1595 0.3405 0.0000 (multiplicity 4)
Pd1 0.1417 0.6417 0.5000 (multiplicity 4)

Computed properties:
- Calculated formation energy: -0.056 eV/atom
- Energy above the most stable polymorph in this dataset: 0 meV/atom



[6]
Compound: K2Na4Hg
Source: the Alexandria database
Functional: GGA-PBE
Structure: optimized geometry

abc: 6.9755 16.3165 9.8214
angles: 90.00 90.00 90.00
Space group Pbca (No. 61)
Asymmetric unit:
K1 0.0015 0.0856 0.1349 (multiplicity 8)
Na1 0.0008 0.2048 0.4600 (multiplicity 8)
Na2 0.2492 0.1254 0.7499 (multiplicity 8)
Hg1 0.0000 0.0000 0.5000 (multiplicity 4)

Computed properties:
- Calculated formation energy: -0.058 eV/atom
- Energy above the most stable polymorph in this dataset: 0 meV/atom



Repeat the sixth record exactly.
Compound: K2Na4Hg
Source: the Alexandria database
Functional: GGA-PBE
Structure: optimized geometry

abc: 6.9755 16.3165 9.8214
angles: 90.00 90.00 90.00
Space group Pbca (No. 61)
Asymmetric unit:
K1 0.0015 0.0856 0.1349 (multiplicity 8)
Na1 0.0008 0.2048 0.4600 (multiplicity 8)
Na2 0.2492 0.1254 0.7499 (multiplicity 8)
Hg1 0.0000 0.0000 0.5000 (multiplicity 4)

Computed properties:
- Calculated formation energy: -0.058 eV/atom
- Energy above the most stable polymorph in this dataset: 0 meV/atom



Repeat the fifth record exactly.
Compound: CoSn2Pd2
Source: the Alexandria database
Functional: GGA-PBE
Structure: optimized geometry

abc: 7.1403 7.1403 3.5361
angles: 90.00 90.00 90.00
Space group P4/mbm (No. 127)
Asymmetric unit:
Co1 0.0000 0.0000 0.0000 (multiplicity 2)
Sn1 0.1595 0.3405 0.0000 (multiplicity 4)
Pd1 0.1417 0.6417 0.5000 (multiplicity 4)

Computed properties:
- Calculated formation energy: -0.056 eV/atom
- Energy above the most stable polymorph in this dataset: 0 meV/atom